(1)
# LiReNi2Mo

A geometry-optimized LiReNi2Mo structure (PBE, Alexandria).

Cell lengths 4.357, 4.357, 4.277 Å; angles 90.00, 90.00, 90.00 degrees
Fractional coordinates of all 5 atoms:
Li: 0.000 0.000 0.000
Re: 0.500 0.500 0.000
Ni: 0.000 0.500 0.500
Ni: 0.500 0.000 0.500
Mo: 0.000 0.000 0.500

Computed properties:
The calculation puts the formation energy at 1.85 eV/atom. The calculation puts the total energy at -27.50 eV per cell.

(2)
# Tb5Tm4In4

A geometry-optimized Tb5Tm4In4 structure (PBE, Alexandria).

Cell lengths 8.983, 8.983, 8.983 Å; angles 94.51, 94.51, 147.44 degrees
Fractional coordinates of all 13 atoms:
Tb: 0.000 0.000 0.000
Tb: 0.312 0.597 0.909
Tb: 0.403 0.312 0.714
Tb: 0.597 0.688 0.286
Tb: 0.688 0.403 0.091
Tm: 0.096 0.395 0.491
Tm: 0.395 0.904 0.298
Tm: 0.605 0.096 0.702
Tm: 0.904 0.605 0.509
In: 0.105 0.764 0.869
In: 0.236 0.105 0.341
In: 0.764 0.895 0.659
In: 0.895 0.236 0.131

Computed properties:
The calculation puts the formation energy at -0.32 eV/atom. The calculation puts the total energy at -56.14 eV per cell.